1.
## Na2PbO2 (PBEsol)

Data for a relaxed structure of Na2PbO2.

It has space group Pbcn (No. 60), with a = 16.836 Å, b = 6.896 Å, c = 5.951 Å, α = 90.00°, β = 90.00° and γ = 90.00°. The inequivalent atoms are Na at (0.000, 0.122, 0.250), Na at (0.000, 0.372, 0.750), Na at (0.137, 0.373, 0.083), Pb at (0.163, 0.136, 0.567), O at (0.086, 0.353, 0.436) and O at (0.097, 0.102, 0.890).

The total energy comes out at -4.7490 eV/atom. For the formation energy (no corrections), the calculation gives -622 kJ/mol of formula units.

2.
## ScIn2Cu (PBEsol)

Data for a relaxed structure of ScIn2Cu.

It has space group P4mm (No. 99), with a = 3.242 Å, b = 3.242 Å, c = 7.547 Å, α = 90.00°, β = 90.00° and γ = 90.00°. The inequivalent atoms are Sc at (0.000, 0.000, 0.000), In at (0.000, 0.000, 0.416), In at (0.500, 0.500, 0.719) and Cu at (0.500, 0.500, 0.206).

The value obtained for the energy of formation is -3.56 kcal/mol of atoms. The total energy comes out at -4.3805 eV/atom.

3.
## LaSb2TeRu (PBEsol)

Data for a relaxed structure of LaSb2TeRu.

It has space group P4/mmm (No. 123), with a = 5.866 Å, b = 5.866 Å, c = 5.890 Å, α = 90.00°, β = 90.00° and γ = 90.00°. The inequivalent atoms are La at (0.000, 0.000, 0.000), Sb at (0.000, 0.500, 0.000), Te at (0.000, 0.000, 0.500) and Ru at (0.500, 0.500, 0.500).

The total energy comes out at -4.1600 eV/atom. For the formation energy (no corrections), the calculation gives 710 kJ/mol of formula units.

4.
## ErSiRh2 (PBEsol)

Data for a relaxed structure of ErSiRh2.

It has space group P6_3/mmc (No. 194), with a = 5.4380 Å, b = 5.4380 Å, c = 14.9272 Å, α = 90.00°, β = 90.00° and γ = 120.00°. The inequivalent atoms are Er at (0.3333, 0.6667, 0.0377), Er at (0.3333, 0.6667, 0.2500), Si at (0.0000, 0.0000, 0.0000), Si at (0.0000, 0.0000, 0.2500), Si at (0.3333, 0.6667, 0.7500) and Rh at (0.1670, 0.3340, 0.6293).

The total energy comes out at -7.8138 eV/atom. For the formation energy (no corrections), the calculation gives -415 kJ/mol of formula units.

5.
## YTeCl2 (PBEsol)

Data for a relaxed structure of YTeCl2.

It has space group R-3m (No. 166, hexagonal axes), with a = 3.5106 Å, b = 3.5106 Å, c = 30.1384 Å, α = 90.00°, β = 90.00° and γ = 120.00°. The inequivalent atoms are Y at (0.0000, 0.0000, 0.0000), Te at (0.0000, 0.0000, 0.5000) and Cl at (0.0000, 0.0000, 0.2766).

The polymorph energy (0 for the lowest one) is 134 meV per atom. The total energy comes out at -4.8864 eV/atom. For the formation energy (no corrections), the calculation gives -500 kJ/mol of formula units.

6.
## La2ScAl (PBEsol)

Data for a relaxed structure of La2ScAl.

It has space group P4mm (No. 99), with a = 3.526 Å, b = 3.526 Å, c = 8.499 Å, α = 90.00°, β = 90.00° and γ = 90.00°. The inequivalent atoms are La at (0.000, 0.000, 0.000), La at (0.500, 0.500, 0.304), Sc at (0.000, 0.000, 0.575) and Al at (0.500, 0.500, 0.753).

The value obtained for the energy of formation is -3.78 kcal/mol of atoms. The total energy comes out at -5.5112 eV/atom.

7.
## LiZn3Ir (PBEsol)

Data for a relaxed structure of LiZn3Ir.

It has space group Pm-3m (No. 221), with a = 4.082 Å, b = 4.082 Å, c = 4.082 Å, α = 90.00°, β = 90.00° and γ = 90.00°. The inequivalent atoms are Li at (0.000, 0.000, 0.000), Zn at (0.000, 0.000, 0.500) and Ir at (0.500, 0.500, 0.500).

The value obtained for the energy of formation is 16.56 kcal/mol of atoms. The total energy comes out at -2.5889 eV/atom.

8.
## KBaMo2I (PBEsol)

Data for a relaxed structure of KBaMo2I.

It has space group P4/mmm (No. 123), with a = 5.123 Å, b = 5.123 Å, c = 6.442 Å, α = 90.00°, β = 90.00° and γ = 90.00°. The inequivalent atoms are K at (0.000, 0.000, 0.000), Ba at (0.000, 0.000, 0.500), Mo at (0.000, 0.500, 0.000) and I at (0.500, 0.500, 0.500).

The total energy comes out at -3.4348 eV/atom. For the formation energy (no corrections), the calculation gives 1101 kJ/mol of formula units.